# PBE TbGe2Ru, optimized geometry
# E_form   -0.61 eV per atom
# Energy   -6.391 eV per atom
data_TbGe2Ru
_cell_length_a 4.2010
_cell_length_b 4.2010
_cell_length_c 14.7354
_cell_angle_alpha 90.00
_cell_angle_beta 90.00
_cell_angle_gamma 120.00
_space_group_name_H-M_alt 'R -3 m'
_space_group_IT_number 166
_space_group_name_Hall '-R 3 2"'
loop_
_atom_site_label
_atom_site_fract_x
_atom_site_fract_y
_atom_site_fract_z
Tb1 0.0000 0.0000 0.0000
Ge1 0.0000 0.0000 0.2209
Ru1 0.0000 0.0000 0.5000